# GGA-PBE Mg2SbRh, optimized geometry
# * V: 18.47 Å³ per atom
# * raw formation energy: -0.34 eV per atom
# * size of the total moment: 0.00 Bohr magnetons per cell
data_Mg2SbRh
_chemical_formula_sum 'Mg4 Sb2 Rh2'
_symmetry_space_group_name_H-M 'I -4 m 2'
_symmetry_Int_Tables_number 119
_symmetry_space_group_name_Hall 'I -4 -2'
_cell_length_a 4.226
_cell_length_b 4.226
_cell_length_c 8.276
_cell_angle_alpha 90.00
_cell_angle_beta 90.00
_cell_angle_gamma 90.00
loop_
_atom_site_label
_atom_site_type_symbol
_atom_site_fract_x
_atom_site_fract_y
_atom_site_fract_z
Mg1 Mg 0.000 0.000 0.000
Mg2 Mg 0.000 0.500 0.250
Sb1 Sb 0.000 0.000 0.500
Rh1 Rh 0.000 0.500 0.750